Entry 1:
Li3SiF: optimized geometry, GGA-PBE.

```
data_Li3SiF
_chemical_formula_sum 'Li3 Si1 F1'
_symmetry_space_group_name_H-M 'P 1'
_symmetry_Int_Tables_number 1
_cell_length_a 4.9191
_cell_length_b 4.9191
_cell_length_c 4.9191
_cell_angle_alpha 90.00
_cell_angle_beta 90.00
_cell_angle_gamma 90.00
loop_
_symmetry_equiv_pos_as_xyz
'x,y,z'
loop_
_atom_site_label
_atom_site_type_symbol
_atom_site_fract_x
_atom_site_fract_y
_atom_site_fract_z
F1 F 0.5000 0.5000 0.5000
Li1 Li 0.0000 0.0000 0.5000
Li2 Li 0.0000 0.5000 0.0000
Li3 Li 0.5000 0.0000 0.0000
Si1 Si 0.0000 0.0000 0.0000
```

Output
SG: Pm-3m
Spin magnetization, μB per formula unit: 2.0
Relative energy among the computed polymorphs, eV per formula unit: 4.492
Energy relative to the elements, uncorrected, eV per atom: -0.205

Entry 2:
Li2SiF6: optimized geometry, GGA-PBE.

```
data_Li2SiF6
_chemical_formula_sum 'Li6 Si3 F18'
_symmetry_space_group_name_H-M 'P 1'
_symmetry_Int_Tables_number 1
_cell_length_a 8.3286
_cell_length_b 8.3286
_cell_length_c 4.6223
_cell_angle_alpha 90.00
_cell_angle_beta 90.00
_cell_angle_gamma 120.00
loop_
_symmetry_equiv_pos_as_xyz
'x,y,z'
loop_
_atom_site_label
_atom_site_type_symbol
_atom_site_fract_x
_atom_site_fract_y
_atom_site_fract_z
F1 F 0.2446 0.4710 0.6964
F2 F 0.8042 0.9067 0.2104
F3 F 0.0933 0.8976 0.2104
F4 F 0.1024 0.1958 0.2104
F5 F 0.1384 0.5552 0.2726
F6 F 0.4168 0.8616 0.2726
F7 F 0.4448 0.5832 0.2726
F8 F 0.5552 0.1384 0.7274
F9 F 0.2264 0.7554 0.6964
F10 F 0.1958 0.1024 0.7896
F11 F 0.4710 0.2446 0.3036
F12 F 0.7736 0.5290 0.3036
F13 F 0.8616 0.4168 0.7274
F14 F 0.9067 0.8042 0.7896
F15 F 0.5290 0.7736 0.6964
F16 F 0.7554 0.2264 0.3036
F17 F 0.8976 0.0933 0.7896
F18 F 0.5832 0.4448 0.7274
Si1 Si 0.3333 0.6667 0.4844
Si2 Si 0.6667 0.3333 0.5156
Si3 Si 0.0000 0.0000 0.0000
Li1 Li 0.0000 0.2950 0.5000
Li2 Li 0.2950 0.0000 0.5000
Li3 Li 0.0000 0.6324 0.0000
Li4 Li 0.7050 0.7050 0.5000
Li5 Li 0.3676 0.3676 0.0000
Li6 Li 0.6324 0.0000 0.0000
```

Output
SG: P321
Spin magnetization, μB per formula unit: 0.0
Relative energy among the computed polymorphs, eV per formula unit: 0.000
Energy relative to the elements, uncorrected, eV per atom: -3.123

Summary of DFT total energy in eV per atom
-2.812, -5.399
(order as listed above)
Summary of DOS(E_F) in states/eV/cell
20.7, 0.0
(order as listed above)